[1]
La4Ge2Bi (PBE, relaxed); E above lowest polymorph = 0.000 eV per formula unit; crystal system = tetragonal; spin magnetization = 0.00 μB per cell
1.0
-4.7869 4.7869 4.7552
4.7869 -4.7869 4.7552
4.7869 4.7869 -4.7552
La Ge Bi
8 4 2
Cartesian
6.4477 0.6624 0.6391
4.1245 3.1262 -1.7385
0.6624 3.1262 -0.6391
0.6624 1.6608 3.0167
4.1245 1.6608 4.1161
1.6608 -0.6624 6.4937
3.1262 5.4494 1.7385
-1.6608 4.1245 5.3942
2.3935 -1.2377 3.5664
3.5492 2.3935 1.1888
2.3935 6.0246 -1.1888
1.2377 2.3935 5.9440
0.0000 0.0000 0.0000
0.0000 4.7869 2.3776



[2]
La5Ge2Bi (PBE, relaxed); E_tot = -5.484 eV per atom; crystal system = tetragonal; spin magnetization = 3.52 μB per cell
1.0
-4.1819 4.1819 7.1808
4.1819 -4.1819 7.1808
4.1819 4.1819 -7.1808
La Ge Bi
10 4 2
Cartesian
0.0000 0.0000 0.0000
5.4640 1.2820 -1.9906
1.2820 2.8999 -1.9906
5.4640 1.2820 1.9906
1.2820 2.8999 1.9906
0.0000 0.0000 7.1808
2.8999 1.2820 5.1902
-1.2820 2.8999 5.1902
2.8999 1.2820 9.1715
-1.2820 2.8999 9.1715
2.9355 1.2464 0.0000
2.9355 -1.2464 7.1808
1.2464 5.4284 0.0000
1.2464 2.9355 7.1808
0.0000 0.0000 3.5904
0.0000 0.0000 10.7712



[3]
La2GeBi2 (PBE, relaxed); E above lowest polymorph = 0.213 eV per formula unit; crystal system = tetragonal; spin magnetization = 0.00 μB per cell
1.0
8.3058 0.0000 0.0000
0.0000 8.3058 0.0000
0.0000 0.0000 4.8174
La Ge Bi
4 2 4
Cartesian
1.4628 2.6901 0.0000
2.6901 6.8430 0.0000
5.6157 1.4628 0.0000
6.8430 5.6157 0.0000
0.0000 0.0000 0.0000
4.1529 4.1529 0.0000
1.0966 5.2495 2.4087
3.0562 1.0966 2.4087
5.2495 7.2091 2.4087
7.2091 3.0562 2.4087



[4]
La4Ge2Bi (PBE, relaxed); E above lowest polymorph = 0.857 eV per formula unit; crystal system = orthorhombic; spin magnetization = 0.04 μB per cell
1.0
-4.9607 5.0124 4.9359
4.9607 -5.0124 4.9359
4.9607 5.0124 -4.9359
La Ge Bi
8 4 2
Cartesian
3.2177 2.5062 -0.4359
6.7037 2.5062 -0.4359
0.0000 0.7326 2.0250
4.9607 0.7326 2.9108
0.0000 4.2798 2.0250
4.9607 4.2798 2.9108
-1.7430 2.5062 5.3718
1.7430 2.5062 5.3718
4.9607 0.0000 0.0000
-2.4804 2.5062 2.4679
0.0000 0.0000 4.9359
2.4804 2.5062 2.4679
4.9607 -2.5062 3.6970
0.0000 7.5186 1.2388



[5]
La4Ge2Bi (PBE, relaxed); E above lowest polymorph = 3.618 eV per formula unit; crystal system = tetragonal; spin magnetization = 0.00 μB per cell
1.0
6.1592 0.0000 0.0000
0.0000 6.1592 0.0000
0.0000 0.0000 14.5771
La Ge Bi
8 4 2
Cartesian
0.0000 0.0000 3.2501
0.0000 0.0000 11.3270
0.0000 3.0796 0.0000
0.0000 3.0796 7.2886
3.0796 0.0000 0.0000
3.0796 0.0000 7.2886
3.0796 3.0796 4.0384
3.0796 3.0796 10.5387
0.0000 0.0000 6.0744
0.0000 0.0000 8.5028
3.0796 3.0796 1.2142
3.0796 3.0796 13.3629
0.0000 0.0000 0.0000
3.0796 3.0796 7.2886



[6]
La8GeBi5 (PBE, relaxed); E_tot = -5.439 eV per atom; crystal system = tetragonal; spin magnetization = 0.00 μB per cell
1.0
-4.8867 4.8867 4.9349
4.8867 -4.8867 4.9349
4.8867 4.8867 -4.9349
La Ge Bi
8 1 5
Cartesian
6.5979 0.6782 -0.4616
1.9166 -0.7030 2.9702
0.6782 3.1754 0.4616
2.9700 5.5896 -1.9647
4.1837 2.9700 1.9647
4.2084 1.7112 5.3966
-1.7112 4.2084 4.4733
0.7030 1.9166 6.8997
4.8867 0.0000 2.4675
0.0000 0.0000 0.0000
3.7214 2.4758 -1.2677
2.4108 -1.1653 6.2027
1.1653 2.4108 3.6672
2.4758 6.0519 1.2677



What is the formula in the fifth record? La4Ge2Bi



What is the formula in the first record? La4Ge2Bi



What did the third record say?
La2GeBi2 (PBE, relaxed); E above lowest polymorph = 0.213 eV per formula unit; crystal system = tetragonal; spin magnetization = 0.00 μB per cell
1.0
8.3058 0.0000 0.0000
0.0000 8.3058 0.0000
0.0000 0.0000 4.8174
La Ge Bi
4 2 4
Cartesian
1.4628 2.6901 0.0000
2.6901 6.8430 0.0000
5.6157 1.4628 0.0000
6.8430 5.6157 0.0000
0.0000 0.0000 0.0000
4.1529 4.1529 0.0000
1.0966 5.2495 2.4087
3.0562 1.0966 2.4087
5.2495 7.2091 2.4087
7.2091 3.0562 2.4087